Record 1
Entry from the Alexandria database: an optimized crystal structure of Pm4Gd2C (PBE).

Cell and atoms, written as POSCAR:
```
Pm4Gd2C
1.0
-1.606 3.201 -3.554
-4.735 -0.534 1.659
-1.994 8.051 4.572
C Pm Gd
1 4 2
Direct
0.000 0.000 0.000 C
0.000 0.500 0.000 Pm
0.500 0.000 0.000 Pm
0.139 0.139 0.722 Pm
0.861 0.861 0.278 Pm
0.668 0.668 0.663 Gd
0.332 0.332 0.337 Gd
```

- D(E_F): 13.0 states/eV per cell
- Crystal system: tetragonal
- Theoretical density: 6.74 g cm⁻³
- ΔE_f: 0.183 eV per atom

Record 2
Entry from the Alexandria database: an optimized crystal structure of KBe2InN (PBE).

Cell and atoms, written as POSCAR:
```
KBe2InN
1.0
-2.295 0.375 -3.988
-2.350 -4.385 0.940
-3.384 2.277 2.162
In Be N K
1 2 1 1
Direct
0.000 0.000 0.000 In
0.500 0.000 0.000 Be
0.000 0.000 0.500 Be
0.000 0.500 0.000 N
0.500 0.500 0.500 K
```

- ΔE_f (raw): 1.254 eV/atom
- D(E_F): 1.8 states/eV per cell
- Crystal system: tetragonal
- Theoretical density: 2.86 g cm⁻³

Record 3
Entry from the Alexandria database: an optimized crystal structure of NaGa4Pt2 (PBE).

Cell and atoms, written as POSCAR:
```
NaGa4Pt2
1.0
4.887 0.000 0.000
0.000 4.887 0.000
2.444 2.444 6.522
Pt Ga Na
2 4 1
Direct
0.601 0.601 0.798 Pt
0.399 0.399 0.202 Pt
0.214 0.214 0.572 Ga
0.500 0.000 0.000 Ga
0.786 0.786 0.428 Ga
0.000 0.500 0.000 Ga
0.000 0.000 0.000 Na
```

- D(E_F): 3.7 states/eV per cell
- Crystal system: tetragonal
- Theoretical density: 7.38 g cm⁻³
- ΔE_f: 0.270 eV per atom

Record 4
Entry from the Alexandria database: an optimized crystal structure of Ce2Ni9Ag (PBE).

Cell and atoms, written as POSCAR:
```
Ce2Ni9Ag
1.0
-1.273 -3.742 2.902
-2.025 -4.024 -1.935
6.283 -5.843 -0.636
Ce Ni Ag
2 9 1
Direct
0.867 0.867 0.398 Ce
0.133 0.133 0.602 Ce
0.583 0.583 0.754 Ni
0.500 0.500 0.500 Ni
0.667 0.667 0.999 Ni
0.333 0.333 0.001 Ni
0.583 0.081 0.754 Ni
0.417 0.919 0.246 Ni
0.417 0.417 0.246 Ni
0.919 0.417 0.246 Ni
0.081 0.583 0.754 Ni
0.000 0.000 0.000 Ag
```

- D(E_F): 13.8 states/eV per cell
- Crystal system: trigonal
- Theoretical density: 9.00 g cm⁻³
- ΔE_f: -0.189 eV per atom

Record 5
Entry from the Alexandria database: an optimized crystal structure of Li6Tl2Hg (PBE).

Cell and atoms, written as POSCAR:
```
Li6Tl2Hg
1.0
2.882 0.000 0.881
0.437 7.528 3.728
-0.954 1.131 8.281
Li Tl Hg
6 2 1
Direct
0.000 0.819 0.181 Li
0.834 0.838 0.494 Li
0.166 0.162 0.506 Li
0.166 0.506 0.162 Li
0.834 0.494 0.838 Li
0.000 0.181 0.819 Li
0.654 0.846 0.846 Tl
0.346 0.154 0.154 Tl
0.500 0.500 0.500 Hg
```

- D(E_F): 4.0 states/eV per cell
- Crystal system: orthorhombic
- Theoretical density: 6.20 g cm⁻³
- ΔE_f: -0.194 eV per atom

Record 6
Entry from the Alexandria database: an optimized crystal structure of BeCuSe (PBE).

Cell and atoms, written as POSCAR:
```
BeCuSe
1.0
-1.183 0.928 3.675
-3.680 -0.900 1.187
-0.574 -2.868 2.685
Se Be Cu
1 1 1
Direct
0.500 0.500 0.500 Se
0.750 0.750 0.750 Be
0.000 0.000 0.000 Cu
```

- ΔE_f (raw): 0.161 eV/atom
- D(E_F): 1.9 states/eV per cell
- Crystal system: cubic
- Theoretical density: 5.68 g cm⁻³

Record 7
Entry from the Alexandria database: an optimized crystal structure of NdY2Ni (PBE).

Cell and atoms, written as POSCAR:
```
NdY2Ni
1.0
-2.226 2.520 1.476
-3.519 -5.276 -0.860
2.421 -3.062 8.878
Nd Y Ni
2 4 2
Direct
0.917 0.834 0.250 Nd
0.083 0.166 0.750 Nd
0.638 0.275 0.071 Y
0.362 0.725 0.929 Y
0.362 0.725 0.571 Y
0.638 0.275 0.429 Y
0.763 0.527 0.750 Ni
0.237 0.473 0.250 Ni
```

- D(E_F): 12.2 states/eV per cell
- Crystal system: orthorhombic
- Theoretical density: 5.79 g cm⁻³
- ΔE_f: -0.186 eV per atom

Record 8
Entry from the Alexandria database: an optimized crystal structure of PmH3Ir (PBE).

Cell and atoms, written as POSCAR:
```
PmH3Ir
1.0
3.740 0.000 0.000
0.000 3.740 0.000
0.000 0.000 3.740
H Ir Pm
3 1 1
Direct
0.000 0.500 0.000 H
0.000 0.000 0.500 H
0.500 0.000 0.000 H
0.000 0.000 0.000 Ir
0.500 0.500 0.500 Pm
```

- Total energy: -5.230 eV/atom
- D(E_F): 0.7 states/eV per cell
- Crystal system: cubic
- Theoretical density: 10.80 g cm⁻³

Record 9
Entry from the Alexandria database: an optimized crystal structure of TiIn4Pd5 (PBE).

Cell and atoms, written as POSCAR:
```
TiIn4Pd5
1.0
3.300 0.000 0.000
0.000 3.300 0.000
0.000 0.000 16.168
In Pd Ti
4 5 1
Direct
0.000 0.000 0.807 In
0.000 0.000 0.602 In
0.000 0.000 0.193 In
0.000 0.000 0.398 In
0.500 0.500 0.086 Pd
0.500 0.500 0.914 Pd
0.500 0.500 0.703 Pd
0.500 0.500 0.500 Pd
0.500 0.500 0.297 Pd
0.000 0.000 0.000 Ti
```

- D(E_F): 5.1 states/eV per cell
- Crystal system: tetragonal
- Theoretical density: 9.80 g cm⁻³
- ΔE_f: -0.516 eV per atom

Record 10
Entry from the Alexandria database: an optimized crystal structure of LaSi2S (PBE).

Cell and atoms, written as POSCAR:
```
LaSi2S
1.0
-1.511 4.402 -6.321
-7.420 0.897 2.399
-3.727 4.948 -0.537
S Si La
2 4 2
Direct
0.500 0.500 0.000 S
0.250 0.750 0.500 S
0.875 0.820 0.750 Si
0.180 0.625 0.250 Si
0.570 0.125 0.250 Si
0.375 0.430 0.750 Si
0.750 0.250 0.500 La
0.000 0.000 0.000 La
```

- ΔE_f (raw): -0.123 eV/atom
- D(E_F): 7.5 states/eV per cell
- Crystal system: tetragonal
- Theoretical density: 4.37 g cm⁻³

Record 11
Entry from the Alexandria database: an optimized crystal structure of Rb2PuTlF8 (PBE).

Cell and atoms, written as POSCAR:
```
Rb2PuTlF8
1.0
6.232 0.000 0.000
0.000 6.232 0.000
-3.116 -3.116 6.067
Rb F Tl Pu
2 8 1 1
Direct
0.000 0.000 0.000 Rb
0.750 0.250 0.500 Rb
0.152 0.061 0.711 F
0.559 0.061 0.711 F
0.350 0.441 0.289 F
0.152 0.650 0.711 F
0.350 0.848 0.289 F
0.559 0.650 0.711 F
0.939 0.848 0.289 F
0.939 0.441 0.289 F
0.500 0.500 0.000 Tl
0.250 0.750 0.500 Pu
```

- ΔE_f (raw): -2.865 eV/atom
- D(E_F): 1.7 states/eV per cell
- Crystal system: tetragonal
- Theoretical density: 5.44 g cm⁻³

Record 12
Entry from the Alexandria database: an optimized crystal structure of ZrTa2Cd (PBE).

Cell and atoms, written as POSCAR:
```
ZrTa2Cd
1.0
5.210 0.023 -0.016
4.382 2.818 -0.016
0.666 0.197 5.484
Zr Ta Cd
1 2 1
Direct
0.497 0.497 0.504 Zr
0.001 0.001 0.016 Ta
0.256 0.256 0.232 Ta
0.746 0.746 0.747 Cd
```

- D(E_F): 4.5 states/eV per cell
- Crystal system: monoclinic
- Theoretical density: 11.74 g cm⁻³
- ΔE_f: 0.243 eV per atom